This record from the Alexandria database describes a relaxed structure of TiAsOs3. The functional is PBE-GGA.

a b c (Å): 4.565 4.565 4.565
angles (deg): 90.00 90.00 90.00
Space group Pm-3m (No. 221)
Inequivalent atoms, fractional coordinates:
1 Ti 0.000 0.000 0.000 [1 per cell]
2 As 0.500 0.500 0.500 [1 per cell]
3 Os 0.000 0.000 0.500 [3 per cell]

Computed properties:
energy of formation	1.883	eV per atom
raw total energy	-7.36	eV/atom
distance to the lowest polymorph of the same formula	652	meV per atom
M_tot	0.0	μB/cell